## AlZnPtW2 (PBE)

Data for crystalline AlZnPtW2 at its relaxed geometry.

## Properties
**Space group**: P4/mmm
**E_tot**: -0.4325 Ry/atom
**Crystal system**: tetragonal
**Total magnetization**: 1.41 μB per cell
**Calculated formation energy**: 1.51 eV/atom

Cell: 4.587 4.277 4.587 Å, 90.00 90.00 90.00°
Last column: magnetic moment on the atom in μB.
Fractional positions:
Zn  0.000  0.000  0.000  0.03
W  0.000  0.000  0.500  0.64
W  0.500  0.000  0.000  0.43
Pt  0.500  0.500  0.500  0.09
Al  0.000  0.500  0.000  -0.01

## Li2ZrSb (PBE)

Data for crystalline Li2ZrSb at its relaxed geometry.

## Properties
**Space group**: Imm2
**E_tot**: -0.3126 Ry/atom
**Crystal system**: orthorhombic
**Total magnetization**: 0.00 μB per cell
**Energy relative to the elements, uncorrected**: -0.1291 eV/atom

Cell: 5.598 5.598 5.598 Å, 144.13 131.51 61.76°
Fractional positions:
Li  0.986  0.986  0.000
Li  0.743  0.243  0.500
Sb  0.518  0.518  0.000
Zr  0.252  0.752  0.500

## ZrZn2Ag (PBE)

Data for crystalline ZrZn2Ag at its relaxed geometry.

## Properties
**Space group**: P4mm
**E_tot**: -0.2635 Ry/atom
**Crystal system**: tetragonal
**Total magnetization**: 0.00 μB per cell
**Calculated formation energy**: -0.10 eV/atom

Cell: 3.066 3.066 7.399 Å, 90.00 90.00 90.00°
Fractional positions:
Ag  0.500  0.500  0.778
Zn  0.000  0.000  0.012
Zn  0.500  0.500  0.223
Zr  0.000  0.000  0.486

## KZn2Re (PBE)

Data for crystalline KZn2Re at its relaxed geometry.

## Properties
**Space group**: Cmmm
**E_tot**: -0.2530 Ry/atom
**Crystal system**: orthorhombic
**Total magnetization**: 0.00 μB per cell
**Calculated formation energy**: 0.58 eV/atom

Cell: 2.725 2.725 10.068 Å, 90.00 90.00 102.71°
Fractional positions:
K  0.500  0.500  0.250
Re  0.500  0.500  0.750
Zn  0.000  0.000  0.961
Zn  0.000  0.000  0.539

## TiZnPd14 (PBE)

Data for crystalline TiZnPd14 at its relaxed geometry.

## Properties
**Space group**: P4/mmm
**E_tot**: -0.3942 Ry/atom
**Crystal system**: tetragonal
**Total magnetization**: 0.00 μB per cell
**Calculated formation energy**: -0.25 eV/atom

Cell: 5.608 5.608 7.749 Å, 90.00 90.00 90.00°
Fractional positions:
Ti  0.875  0.875  0.500
Zn  0.375  0.375  0.500
Pd  0.875  0.875  0.000
Pd  0.375  0.375  0.000
Pd  0.875  0.375  0.500
Pd  0.875  0.375  0.000
Pd  0.375  0.875  0.500
Pd  0.375  0.875  0.000
Pd  0.627  0.123  0.257
Pd  0.627  0.123  0.743
Pd  0.123  0.627  0.257
Pd  0.123  0.627  0.743
Pd  0.627  0.627  0.257
Pd  0.627  0.627  0.743
Pd  0.123  0.123  0.257
Pd  0.123  0.123  0.743

## PrLu2Hf (PBE)

Data for crystalline PrLu2Hf at its relaxed geometry.

## Properties
**Space group**: P4/mmm
**E_tot**: -0.4255 Ry/atom
**Crystal system**: tetragonal
**Total magnetization**: 0.00 μB per cell
**Calculated formation energy**: 0.16 eV/atom

Cell: 4.838 4.846 4.846 Å, 90.00 90.00 90.00°
Fractional positions:
Pr  0.500  0.500  0.500
Lu  0.000  0.000  0.500
Lu  0.000  0.500  0.000
Hf  0.500  0.000  0.000

## LaNi3As (PBE)

Data for crystalline LaNi3As at its relaxed geometry.

## Properties
**Space group**: Pm-3m
**E_tot**: -0.3066 Ry/atom
**Crystal system**: cubic
**Total magnetization**: 0.00 μB per cell
**Calculated formation energy**: 1.21 eV/atom

Cell: 4.698 4.698 4.698 Å, 90.00 90.00 90.00°
Fractional positions:
Ni  0.000  0.500  0.000
Ni  0.000  0.000  0.500
Ni  0.500  0.000  0.000
As  0.500  0.500  0.500
La  0.000  0.000  0.000

## NbCrGe (PBE)

Data for crystalline NbCrGe at its relaxed geometry.

## Properties
**Space group**: Cmcm
**E_tot**: -0.6127 Ry/atom
**Crystal system**: orthorhombic
**Total magnetization**: 1.49 μB per cell
**Calculated formation energy**: -0.23 eV/atom

Cell: 3.817 5.109 5.029 Å, 90.00 112.31 90.00°
Last column: magnetic moment on the atom in μB.
Fractional positions:
Nb  0.300  0.750  0.600  -0.09
Nb  0.700  0.250  0.400  -0.09
Ge  0.399  0.250  0.799  -0.01
Ge  0.601  0.750  0.201  -0.01
Cr  0.000  0.000  0.000  0.81
Cr  0.000  0.500  0.000  0.81

> What is the E_tot in the seventh record?

-0.3066 Ry/atom

> What is the total magnetization in the seventh record?

0.00 μB per cell

> Which of these has the highest E_tot?

KZn2Re